Entry 1:
{
  "formula": "AcTh2Ta",
  "functional": "PBE",
  "state": "optimized geometry",
  "formation_energy_mev_per_atom": 756,
  "e_tot_ev_per_fu": -27.8,
  "lattice_angstrom": [[3.414, 0.000, 0.000], [-1.707, 2.957, 0.000], [0.000, 0.000, 36.969]],
  "species": ["Ac", "Ac", "Ac", "Th", "Th", "Th", "Th", "Th", "Th", "Ta", "Ta", "Ta"],
  "fractional_positions": [[0.000, 0.000, 0.000], [0.333, 0.667, 0.667], [0.667, 0.333, 0.333], [0.000, 0.000, 0.421], [0.000, 0.000, 0.579], [0.333, 0.667, 0.088], [0.333, 0.667, 0.245], [0.667, 0.333, 0.755], [0.667, 0.333, 0.912], [0.000, 0.000, 0.500], [0.333, 0.667, 0.167], [0.667, 0.333, 0.833]]
}

Entry 2:
{
  "formula": "CoRuPbN2",
  "functional": "PBE",
  "state": "optimized geometry",
  "raw_formation_energy_mev_per_atom": 2646,
  "e_tot_ev_per_fu": -23.5,
  "lattice_angstrom": [[4.233, 0.000, 0.000], [0.000, 4.233, 0.000], [0.000, 0.000, 5.331]],
  "species": ["Co", "Ru", "Pb", "N", "N"],
  "fractional_positions": [[0.000, 0.000, 0.000], [0.500, 0.500, 0.000], [0.500, 0.500, 0.500], [0.000, 0.500, 0.500], [0.500, 0.000, 0.500]]
}